[1]
CaCr2Ir2 | PBE-GGA | optimized geometry

Calculated values
formation energy	-0.06	eV/atom
density	9998	kg/m3
energy relative to the lowest polymorph listed for this composition	0	meV per atom

Cell lengths 4.1902, 4.1902, 5.8114 Å; angles 68.87, 68.87, 90.00 degrees
With the nearest neighbours (Å) after each atom.
Fractional positions:
Ca: 0.0000 0.0000 0.0000  8 Ir 3.24, 8 Cr 3.26
Cr: 0.2500 0.7500 0.5000  4 Ir 2.41
Ir: 0.3697 0.3697 0.2606  4 Cr 2.41, 1 Ir 2.61
Cr: 0.7500 0.2500 0.5000  4 Ir 2.41
Ir: 0.6303 0.6303 0.7394  4 Cr 2.41, 1 Ir 2.61

---

[2]
TbSc2Al9 | PBE-GGA | optimized geometry

Calculated values
formation energy	-0.34	eV/atom
density	3666	kg/m3
energy relative to the lowest polymorph listed for this composition	100	meV per atom

Cell lengths 5.4494, 5.4494, 9.2145 Å; angles 72.80, 72.80, 60.00 degrees
With the nearest neighbours (Å) after each atom.
Fractional positions:
Al: 0.6647 0.6647 0.0059  6 Al 2.70-2.74
Al: 0.5893 0.0781 0.7434  7 Al 2.65-2.79
Al: 0.3353 0.3353 0.9941  6 Al 2.70-2.74
Tb: 0.0000 0.0000 0.0000  18 Al 3.15-3.52
Al: 0.0781 0.5893 0.7434  7 Al 2.65-2.79
Al: 0.5000 0.5000 0.5000  6 Al 2.65
Al: 0.5893 0.5893 0.7434  7 Al 2.65-2.79
Al: 0.9219 0.4107 0.2566  7 Al 2.65-2.79
Al: 0.4107 0.9219 0.2566  7 Al 2.65-2.79
Sc: 0.8568 0.8568 0.4296  12 Al 3.11-3.20, 3 Sc 3.37
Sc: 0.1432 0.1432 0.5704  12 Al 3.11-3.20, 3 Sc 3.37
Al: 0.4107 0.4107 0.2566  7 Al 2.65-2.79

---

[3]
ScCuMo2 | PBE-GGA | optimized geometry

Calculated values
formation energy	0.28	eV/atom
density	7697	kg/m3
energy relative to the lowest polymorph listed for this composition	237	meV per atom

Cell lengths 5.1936, 5.1936, 2.7054 Å; angles 90.00, 90.00, 117.37 degrees
With the nearest neighbours (Å) after each atom.
Fractional positions:
Mo: 0.5000 0.5000 0.0000  4 Mo 2.70-2.71, 4 Cu 2.93, 4 Sc 2.93
Sc: 0.5000 0.0000 0.5000  2 Cu 2.70, 2 Sc 2.71, 8 Mo 2.93
Cu: 0.0000 0.5000 0.5000  2 Sc 2.70, 2 Cu 2.71, 8 Mo 2.93
Mo: 0.0000 0.0000 0.0000  4 Mo 2.70-2.71, 4 Sc 2.93, 4 Cu 2.93

---

[4]
LaTi3Zn | PBE-GGA | optimized geometry

Calculated values
formation energy	1.25	eV/atom
density	5342	kg/m3
energy relative to the lowest polymorph listed for this composition	672	meV per atom

Cell lengths 4.7643, 4.7643, 4.7643 Å; angles 90.00, 90.00, 90.00 degrees
With the nearest neighbours (Å) after each atom.
Fractional positions:
Ti: 0.0000 0.5000 0.0000  2 La 2.38
Ti: 0.0000 0.0000 0.5000  2 La 2.38
La: 0.0000 0.0000 0.0000  6 Ti 2.38
Ti: 0.5000 0.0000 0.0000  2 La 2.38
Zn: 0.5000 0.5000 0.5000  12 Ti 3.37

---

[5]
Pm2GeAs | PBE-GGA | optimized geometry

Calculated values
formation energy	-1.09	eV/atom
density	6706	kg/m3
energy relative to the lowest polymorph listed for this composition	93	meV per atom

Cell lengths 4.1642, 4.1642, 7.6050 Å; angles 74.11, 74.11, 60.00 degrees
With the nearest neighbours (Å) after each atom.
Fractional positions:
Pm: 0.7529 0.7529 0.7413  3 As 2.97, 3 Ge 3.04
Ge: 0.0000 0.0000 0.0000  6 Pm 3.04
Pm: 0.2471 0.2471 0.2587  3 As 2.97, 3 Ge 3.04
As: 0.5000 0.5000 0.5000  6 Pm 2.97

---

[6]
Pu3Al5Au6 | PBE-GGA | optimized geometry

Calculated values
formation energy	-0.47	eV/atom
density	12114	kg/m3

Cell lengths 4.4494, 9.3843, 13.4518 Å; angles 90.00, 90.00, 90.00 degrees
With the nearest neighbours (Å) after each atom.
Fractional positions:
Au: 0.0000 0.9665 0.8599  4 Al 2.59-2.73
Au: 0.5000 0.0335 0.6401  4 Al 2.59-2.73
Al: 0.0000 0.5254 0.1347  5 Au 2.65-2.91, 1 Al 2.83
Al: 0.0000 0.7565 0.0000  6 Au 2.73-2.85, 2 Al 2.83
Au: 0.5000 0.3771 0.8366  4 Al 2.58-2.87
Al: 0.0000 0.5254 0.8653  5 Au 2.65-2.91, 1 Al 2.83
Pu: 0.0000 0.2552 0.3008  7 Au 3.10-3.47, 6 Al 3.15-3.38
Pu: 0.0000 0.2383 0.0000  8 Au 3.17-3.53, 6 Al 3.25-3.42
Al: 0.5000 0.4746 0.3653  5 Au 2.65-2.91, 1 Al 2.83
Pu: 0.5000 0.7448 0.1992  7 Au 3.10-3.47, 6 Al 3.15-3.38
Al: 0.5000 0.1020 0.1680  5 Au 2.58-2.69
Al: 0.5000 0.1020 0.8320  5 Au 2.58-2.69
Al: 0.5000 0.4746 0.6347  5 Au 2.65-2.91, 1 Al 2.83
Au: 0.0000 0.0531 0.5000  4 Al 2.69-2.85, 4 Au 2.92
Au: 0.5000 0.9469 0.0000  4 Al 2.69-2.85, 4 Au 2.92
Pu: 0.5000 0.7617 0.5000  8 Au 3.17-3.53, 6 Al 3.25-3.42
Pu: 0.5000 0.7448 0.8008  7 Au 3.10-3.47, 6 Al 3.15-3.38
Au: 0.5000 0.5779 0.0000  6 Al 2.78-2.91, 2 Au 2.90, 2 Pu 3.10
Au: 0.0000 0.9665 0.1401  4 Al 2.59-2.73
Al: 0.0000 0.8980 0.6680  5 Au 2.58-2.69
Au: 0.0000 0.6229 0.6634  4 Al 2.58-2.87
Au: 0.5000 0.0335 0.3599  4 Al 2.59-2.73
Au: 0.5000 0.3771 0.1634  4 Al 2.58-2.87
Al: 0.0000 0.8980 0.3320  5 Au 2.58-2.69
Al: 0.5000 0.2435 0.5000  6 Au 2.73-2.85, 2 Al 2.83
Au: 0.0000 0.6229 0.3366  4 Al 2.58-2.87
Au: 0.0000 0.4221 0.5000  6 Al 2.78-2.91, 2 Au 2.90, 2 Pu 3.10
Pu: 0.0000 0.2552 0.6992  7 Au 3.10-3.47, 6 Al 3.15-3.38

---

[7]
SrInSnBi | PBE-GGA | optimized geometry

Calculated values
formation energy	-0.40	eV/atom
density	7241	kg/m3
energy relative to the lowest polymorph listed for this composition	0	meV per atom

Cell lengths 4.9339, 4.9619, 4.9656 Å; angles 90.00, 90.00, 90.00 degrees
With the nearest neighbours (Å) after each atom.
Fractional positions:
Sr: 0.0000 0.0000 0.0000  4 Bi 3.50, 4 In 3.50, 4 Sn 3.51
In: 0.5000 0.0000 0.5000  4 Sn 3.50, 4 Sr 3.50, 4 Bi 3.51
Sn: 0.0000 0.5000 0.5000  4 In 3.50, 4 Bi 3.50, 4 Sr 3.51
Bi: 0.5000 0.5000 0.0000  4 Sr 3.50, 4 Sn 3.50, 4 In 3.51

---

[8]
HfTc3Pb | PBE-GGA | optimized geometry

Calculated values
formation energy	2.10	eV/atom
density	9691	kg/m3
energy relative to the lowest polymorph listed for this composition	475	meV per atom

Cell lengths 4.8834, 4.8834, 4.8834 Å; angles 90.00, 90.00, 90.00 degrees
With the nearest neighbours (Å) after each atom.
Fractional positions:
Hf: 0.5000 0.5000 0.5000  12 Tc 3.45
Tc: 0.5000 0.0000 0.0000  2 Pb 2.44
Tc: 0.0000 0.0000 0.5000  2 Pb 2.44
Tc: 0.0000 0.5000 0.0000  2 Pb 2.44
Pb: 0.0000 0.0000 0.0000  6 Tc 2.44

---

[9]
Ho2Er5Ga4 | PBE-GGA | optimized geometry

Calculated values
formation energy	-0.02	eV/atom
density	7297	kg/m3

Cell lengths 4.6428, 10.6482, 8.8308 Å; angles 127.08, 105.24, 90.00 degrees
With the nearest neighbours (Å) after each atom.
Fractional positions:
Ga: 0.5932 0.5932 0.1864  1 Ga 2.48
Er: 0.1520 0.4850 0.3039  3 Ga 2.86-3.03
Ho: 0.1951 0.1951 0.3901  3 Ga 2.82-3.01
Ga: 0.0000 0.8567 0.0000  4 Er 2.78-2.86, 2 Ho 3.01, 1 Ga 3.05
Ho: 0.8049 0.8049 0.6099  3 Ga 2.82-3.01
Ga: 0.4068 0.4068 0.8136  1 Ga 2.48
Er: 0.5000 0.0000 0.0000  4 Ga 2.78
Er: 0.8480 0.5150 0.6961  3 Ga 2.86-3.03
Er: 0.8480 0.1810 0.6961  3 Ga 2.86-3.03
Ga: 0.0000 0.1433 0.0000  4 Er 2.78-2.86, 2 Ho 3.01, 1 Ga 3.05
Er: 0.1520 0.8190 0.3039  3 Ga 2.86-3.03

---

[10]
TmAl3Ni2 | PBE-GGA | optimized geometry

Calculated values
formation energy	-0.66	eV/atom
density	6470	kg/m3

Cell lengths 8.9718, 8.9718, 4.0564 Å; angles 90.00, 90.00, 120.00 degrees
With the nearest neighbours (Å) after each atom.
Fractional positions:
Tm: 0.3333 0.6667 0.5000  6 Ni 3.11, 12 Al 3.17-3.29
Al: 0.7030 0.7030 0.5000  4 Ni 2.48, 4 Al 2.67-2.73
Al: 0.7030 0.0000 0.5000  4 Ni 2.48, 4 Al 2.67-2.73
Ni: 0.1819 0.8181 0.0000  6 Al 2.48
Al: 0.0000 0.2970 0.5000  4 Ni 2.48, 4 Al 2.67-2.73
Ni: 0.8181 0.6362 0.0000  6 Al 2.48
Ni: 0.1819 0.3638 0.0000  6 Al 2.48
Ni: 0.8181 0.1819 0.0000  6 Al 2.48
Ni: 0.6362 0.8181 0.0000  6 Al 2.48
Al: 0.5000 0.0000 0.0000  4 Ni 2.48, 4 Al 2.73
Al: 0.2970 0.2970 0.5000  4 Ni 2.48, 4 Al 2.67-2.73
Al: 0.2970 0.0000 0.5000  4 Ni 2.48, 4 Al 2.67-2.73
Al: 0.5000 0.5000 0.0000  4 Ni 2.48, 4 Al 2.73
Tm: 0.6667 0.3333 0.5000  6 Ni 3.11, 12 Al 3.17-3.29
Tm: 0.0000 0.0000 0.0000  6 Ni 2.83
Al: 0.0000 0.5000 0.0000  4 Ni 2.48, 4 Al 2.73
Ni: 0.3638 0.1819 0.0000  6 Al 2.48
Al: 0.0000 0.7030 0.5000  4 Ni 2.48, 4 Al 2.67-2.73

---

[11]
LiZnIn2 | PBE-GGA | optimized geometry

Calculated values
formation energy	-0.08	eV/atom
density	6003	kg/m3

Cell lengths 3.5067, 4.1422, 5.7512 Å; angles 90.00, 90.00, 90.00 degrees
With the nearest neighbours (Å) after each atom.
Fractional positions:
In: 0.5000 0.5000 0.2661  2 Zn 2.80-2.96, 4 Li 3.03
Zn: 0.5000 0.5000 0.7522  6 In 2.80-3.02, 4 Li 3.08
Li: 0.0000 0.0000 0.5001  6 In 2.77-3.03, 4 Zn 3.08
In: 0.0000 0.0000 0.9815  2 Li 2.77-2.98, 4 Zn 3.02

---

[12]
CrSbPd2 | PBE-GGA | optimized geometry

Calculated values
energy relative to the elements, uncorrected	-0.1944	eV per atom
density	9620	kg/m3

Cell lengths 3.9844, 4.0923, 4.0923 Å; angles 90.00, 90.00, 90.00 degrees
With the nearest neighbours (Å) after each atom.
Fractional positions:
Cr: 0.5000 0.0000 0.0000  8 Pd 2.86, 4 Sb 2.89
Pd: 0.0000 0.0000 0.5000  4 Cr 2.86, 4 Sb 2.86, 4 Pd 2.89
Sb: 0.5000 0.5000 0.5000  8 Pd 2.86, 4 Cr 2.89
Pd: 0.0000 0.5000 0.0000  4 Cr 2.86, 4 Sb 2.86, 4 Pd 2.89

---

Copy entry 5 word for word.
Pm2GeAs | PBE-GGA | optimized geometry

Calculated values
formation energy	-1.09	eV/atom
density	6706	kg/m3
energy relative to the lowest polymorph listed for this composition	93	meV per atom

Cell lengths 4.1642, 4.1642, 7.6050 Å; angles 74.11, 74.11, 60.00 degrees
With the nearest neighbours (Å) after each atom.
Fractional positions:
Pm: 0.7529 0.7529 0.7413  3 As 2.97, 3 Ge 3.04
Ge: 0.0000 0.0000 0.0000  6 Pm 3.04
Pm: 0.2471 0.2471 0.2587  3 As 2.97, 3 Ge 3.04
As: 0.5000 0.5000 0.5000  6 Pm 2.97

---

density of number 10 (TmAl3Ni2)?
6470 kg/m3

---

Which of these has the highest density?
Pu3Al5Au6